(1)
{
  "formula": "CsYSi2O6",
  "functional": "GGA-PBE",
  "state": "relaxed",
  "lattice": [[7.230, 0.562, 0.762], [-0.327, 7.244, 0.762], [-1.246, -1.409, 5.268]],
  "species": ["Cs", "Cs", "Y", "Y", "Si", "Si", "Si", "Si", "O", "O", "O", "O", "O", "O", "O", "O", "O", "O", "O", "O"],
  "frac_coords": [[0.183, 0.817, 0.250], [0.817, 0.183, 0.750], [0.618, 0.382, 0.250], [0.382, 0.618, 0.750], [0.303, 0.144, 0.811], [0.856, 0.697, 0.689], [0.697, 0.856, 0.189], [0.144, 0.303, 0.311], [0.931, 0.375, 0.267], [0.625, 0.069, 0.233], [0.069, 0.625, 0.733], [0.375, 0.931, 0.767], [0.180, 0.169, 0.048], [0.831, 0.820, 0.452], [0.820, 0.831, 0.952], [0.169, 0.180, 0.548], [0.321, 0.444, 0.374], [0.556, 0.679, 0.126], [0.679, 0.556, 0.626], [0.444, 0.321, 0.874]],
  "dft_energy_ev_per_atom": -7.613
}

***

(2)
{
  "formula": "Cs3Sm2O4",
  "functional": "GGA-PBE",
  "state": "relaxed",
  "lattice": [[0.087, 3.090, 2.475], [-3.575, -2.289, 6.151], [7.493, -2.673, 6.241]],
  "species": ["Cs", "Cs", "Cs", "Sm", "Sm", "O", "O", "O", "O"],
  "frac_coords": [[0.000, 0.000, 0.000], [0.147, 0.477, 0.228], [0.853, 0.523, 0.772], [0.643, 0.093, 0.622], [0.357, 0.907, 0.378], [0.780, 0.064, 0.376], [0.220, 0.936, 0.624], [0.488, 0.231, 0.794], [0.512, 0.769, 0.206]],
  "dft_energy_ev_per_atom": -5.560
}

***

(3)
{
  "formula": "CsSmO2",
  "functional": "GGA-PBE",
  "state": "relaxed",
  "lattice": [[-2.854, -0.075, -2.263], [-0.696, -2.994, -1.956], [-5.218, -3.463, 3.763]],
  "species": ["Cs", "Sm", "O", "O"],
  "frac_coords": [[0.497, 0.497, 0.510], [0.667, 0.667, 0.000], [0.058, 0.058, 0.827], [0.279, 0.279, 0.162]],
  "dft_energy_ev_per_atom": -6.398
}